# PBE-GGA BaIBrO2, relaxed
data_BaIBrO2
_chemical_formula_sum 'Ba1 I1 Br1 O2'
_cell_length_a 4.539
_cell_length_b 4.539
_cell_length_c 8.119
_cell_angle_alpha 90.00
_cell_angle_beta 90.00
_cell_angle_gamma 90.00
_symmetry_space_group_name_H-M 'P 4/m m m'
_symmetry_Int_Tables_number 123
_symmetry_space_group_name_Hall '-P 4 2'
loop_
_atom_site_label
_atom_site_type_symbol
_atom_site_fract_x
_atom_site_fract_y
_atom_site_fract_z
_atom_site_occupancy
Ba1 Ba 0.000 0.000 0.000 1
I1 I 0.000 0.000 0.500 1
Br1 Br 0.500 0.500 0.500 1
O1 O 0.000 0.500 0.000 1
# - magnetic moment (μB per cell) = 0.0
# - calculated total energy (eV/cell) = -16.70
# - E_form (uncorrected) (meV per atom) = -328

# PBE-GGA Ho4Bi2SbSe, relaxed
data_Ho4Bi2SbSe
_chemical_formula_sum 'Ho4 Bi2 Sb1 Se1'
_cell_length_a 7.509
_cell_length_b 4.344
_cell_length_c 7.530
_cell_angle_alpha 90.00
_cell_angle_beta 109.41
_cell_angle_gamma 90.00
_symmetry_space_group_name_H-M 'P 1 2/m 1'
_symmetry_Int_Tables_number 10
_symmetry_space_group_name_Hall '-P 2y'
loop_
_atom_site_label
_atom_site_type_symbol
_atom_site_fract_x
_atom_site_fract_y
_atom_site_fract_z
_atom_site_occupancy
Ho1 Ho 0.243 0.000 0.238 1
Ho2 Ho 0.249 0.500 0.760 1
Bi1 Bi 0.000 0.000 0.500 1
Bi2 Bi 0.500 0.500 0.500 1
Sb1 Sb 0.500 0.000 0.000 1
Se1 Se 0.000 0.500 0.000 1
# - magnetic moment (μB per cell) = 0.0
# - calculated total energy (eV/cell) = -42.65
# - E_form (uncorrected) (meV per atom) = -1121

# PBE-GGA Ba3Y2PaAs6, relaxed
data_Ba3Y2PaAs6
_chemical_formula_sum 'Ba6 Y4 Pa2 As12'
_cell_length_a 7.526
_cell_length_b 13.042
_cell_length_c 7.873
_cell_angle_alpha 90.00
_cell_angle_beta 108.60
_cell_angle_gamma 90.00
_symmetry_space_group_name_H-M 'C 1 2/m 1'
_symmetry_Int_Tables_number 12
_symmetry_space_group_name_Hall '-C 2y'
loop_
_atom_site_label
_atom_site_type_symbol
_atom_site_fract_x
_atom_site_fract_y
_atom_site_fract_z
_atom_site_occupancy
Ba1 Ba 0.000 0.000 0.000 1
Ba2 Ba 0.000 0.330 0.000 1
Y1 Y 0.000 0.166 0.500 1
Pa1 Pa 0.000 0.500 0.500 1
As1 As 0.231 0.338 0.705 1
As2 As 0.245 0.000 0.707 1
# - magnetic moment (μB per cell) = 0.0
# - calculated total energy (eV/cell) = -141.15
# - energy of formation (meV/atom) = -1207

# PBE-GGA K3Na2IO6, relaxed
data_K3Na2IO6
_chemical_formula_sum 'K6 Na4 I2 O12'
_cell_length_a 6.015
_cell_length_b 10.324
_cell_length_c 6.299
_cell_angle_alpha 90.00
_cell_angle_beta 108.66
_cell_angle_gamma 90.00
_symmetry_space_group_name_H-M 'C 1 2/m 1'
_symmetry_Int_Tables_number 12
_symmetry_space_group_name_Hall '-C 2y'
loop_
_atom_site_label
_atom_site_type_symbol
_atom_site_fract_x
_atom_site_fract_y
_atom_site_fract_z
_atom_site_occupancy
K1 K 0.000 0.000 0.000 1
K2 K 0.000 0.323 0.000 1
Na1 Na 0.000 0.166 0.500 1
I1 I 0.000 0.500 0.500 1
O1 O 0.195 0.366 0.684 1
O2 O 0.200 0.500 0.313 1
# - magnetic moment (μB per cell) = 0.0
# - calculated total energy (eV/cell) = -104.57
# - E_form (uncorrected) (meV per atom) = -1255